A plane-wave DFT calculation with PBE was carried out for crystalline Sc3B7Ir at its relaxed geometry.

POSCAR file:
```
Sc3B7Ir
1.0
-0.074 1.976 2.696
-6.565 -3.888 0.597
4.221 -6.391 4.799
Sc B Ir
6 14 2
Direct
0.108 0.217 0.443
0.892 0.783 0.557
0.250 0.500 0.750
0.750 0.500 0.250
0.108 0.217 0.057
0.892 0.783 0.943
0.443 0.886 0.750
0.557 0.114 0.250
0.484 0.968 0.407
0.516 0.032 0.593
0.516 0.032 0.907
0.484 0.968 0.093
0.365 0.730 0.349
0.635 0.270 0.651
0.272 0.544 0.468
0.728 0.456 0.532
0.728 0.456 0.968
0.272 0.544 0.032
0.365 0.730 0.151
0.635 0.270 0.849
0.949 0.898 0.250
0.051 0.102 0.750
```

Output
The calculation puts the calculated volume at 10.26 A^3/atom. The calculation puts the mass density at 5.93 g cm⁻³. The magnetization is 0.0 μB/cell. The formation energy comes out at -8.14 eV/f.u. The symmetry is Cmcm, No. 63.